Record 1
# NbOs PBE relaxed
data_NbOs
_symmetry_space_group_name_H-M 'P 1'
_symmetry_Int_Tables_number 1
_cell_length_a 5.259
_cell_length_b 5.259
_cell_length_c 5.259
_cell_angle_alpha 90.00
_cell_angle_beta 90.00
_cell_angle_gamma 90.00
loop_
_symmetry_equiv_pos_as_xyz
'x,y,z'
loop_
_atom_site_label
_atom_site_type_symbol
_atom_site_fract_x
_atom_site_fract_y
_atom_site_fract_z
Nb1 Nb 0.000 0.000 0.000
Nb2 Nb 0.000 0.500 0.500
Nb3 Nb 0.500 0.000 0.500
Nb4 Nb 0.500 0.500 0.000
Os1 Os 0.000 0.000 0.500
Os2 Os 0.000 0.500 0.000
Os3 Os 0.500 0.000 0.000
Os4 Os 0.500 0.500 0.500
# - Volume: 18.18 A^3/atom
# - Energy: -10.01 eV per atom
# - Crystal system: cubic



Record 2
# Sr2NbP6Os PBE relaxed
data_Sr2NbP6Os
_symmetry_space_group_name_H-M 'P 1'
_symmetry_Int_Tables_number 1
_cell_length_a 7.471
_cell_length_b 7.471
_cell_length_c 7.471
_cell_angle_alpha 47.18
_cell_angle_beta 47.18
_cell_angle_gamma 47.18
loop_
_symmetry_equiv_pos_as_xyz
'x,y,z'
loop_
_atom_site_label
_atom_site_type_symbol
_atom_site_fract_x
_atom_site_fract_y
_atom_site_fract_z
Sr1 Sr 0.000 0.000 0.000
Sr2 Sr 0.497 0.497 0.497
Nb1 Nb 0.826 0.826 0.826
P1 P 0.090 0.090 0.475
P2 P 0.090 0.475 0.090
P3 P 0.475 0.090 0.090
P4 P 0.584 0.584 0.972
P5 P 0.584 0.972 0.584
P6 P 0.972 0.584 0.584
Os1 Os 0.323 0.323 0.323
# - Volume: 20.51 A^3/atom
# - Energy: -6.23 eV per atom
# - Crystal system: trigonal



Record 3
# PaNbOs PBE relaxed
data_PaNbOs
_symmetry_space_group_name_H-M 'P 1'
_symmetry_Int_Tables_number 1
_cell_length_a 6.471
_cell_length_b 6.471
_cell_length_c 6.471
_cell_angle_alpha 90.00
_cell_angle_beta 90.00
_cell_angle_gamma 90.00
loop_
_symmetry_equiv_pos_as_xyz
'x,y,z'
loop_
_atom_site_label
_atom_site_type_symbol
_atom_site_fract_x
_atom_site_fract_y
_atom_site_fract_z
Pa1 Pa 0.000 0.000 0.000
Pa2 Pa 0.000 0.500 0.500
Pa3 Pa 0.500 0.000 0.500
Pa4 Pa 0.500 0.500 0.000
Nb1 Nb 0.000 0.000 0.500
Nb2 Nb 0.000 0.500 0.000
Nb3 Nb 0.500 0.000 0.000
Nb4 Nb 0.500 0.500 0.500
Os1 Os 0.250 0.250 0.750
Os2 Os 0.250 0.750 0.250
Os3 Os 0.750 0.250 0.250
Os4 Os 0.750 0.750 0.750
# - ΔE to the lowest computed polymorph: 0.0000 eV/atom
# - Volume: 22.58 A^3/atom
# - Energy: -10.06 eV per atom
# - Crystal system: cubic